## NiAgIrAu2 (PBE-GGA)

Data for a relaxed structure of NiAgIrAu2.

As for the electronic total energy: -3.4993 eV per atom.

Cell: 4.6387 4.6387 4.5936 Å, 90.00 90.00 90.00°
With the nearest neighbours (Å) after each atom.
Sites, in units of the cell vectors:
1 Ni 0.0000 0.0000 0.0000  2 Ag 2.30, 4 Au 2.32
2 Ag 0.0000 0.0000 0.5000  2 Ni 2.30
3 Ir 0.5000 0.5000 0.5000  8 Au 3.26, 4 Ag 3.28
4 Au 0.0000 0.5000 0.0000  2 Ni 2.32
5 Au 0.5000 0.0000 0.0000  2 Ni 2.32

***

## Ag2IrOsAu (PBE-GGA)

Data for a relaxed structure of Ag2IrOsAu.

As for the electronic total energy: -3.6173 eV per atom.

Cell: 4.9843 4.9843 4.9457 Å, 90.00 90.00 90.00°
With the nearest neighbours (Å) after each atom.
Sites, in units of the cell vectors:
1 Ag 0.0000 0.5000 0.0000  2 Os 2.49
2 Ag 0.5000 0.0000 0.0000  2 Os 2.49
3 Ir 0.0000 0.0000 0.5000  8 Ag 3.51, 4 Au 3.52
4 Os 0.5000 0.5000 0.0000  2 Au 2.47, 4 Ag 2.49
5 Au 0.5000 0.5000 0.5000  2 Os 2.47